Density functional theory data (GGA-PBE) for a relaxed Sc4TcAu crystal.

a = 4.7404 Å, b = 4.7405 Å, c = 7.5644 Å
α = 71.74°, β = 71.74°, γ = 60.00°
With the nearest neighbours (Å) after each atom.
Positions (direct):
Sc1 0.6324 0.6324 0.1027  1 Au 2.80, 3 Tc 2.83, 3 Sc 3.10
Sc2 0.3676 0.3676 0.8973  1 Au 2.80, 3 Tc 2.83, 3 Sc 3.10
Sc3 0.1214 0.1213 0.6359  1 Tc 2.57
Sc4 0.8786 0.8787 0.3641  1 Tc 2.57
Tc1 0.0000 0.0000 0.0000  8 Sc 2.57-2.83
Au1 0.5000 0.5000 0.5000  8 Sc 2.80-2.90

## Properties
- Relative energy among the computed polymorphs: 161 meV/atom
- Uncorrected energy: -6.73 eV per atom
- Space group: R-3m
- Density of states at the Fermi level: 0.888 states/eV per atom
- E_form: -0.239 eV per atom
- Total magnetization: 0.0 μB/f.u.


Density functional theory data (GGA-PBE) for a relaxed Er2ScH8 crystal.

a = 3.5542 Å, b = 4.8850 Å, c = 6.0991 Å
α = 113.61°, β = 106.94°, γ = 90.00°
With the nearest neighbours (Å) after each atom.
Positions (direct):
Er1 0.1687 0.6687 0.3374  8 H 2.15-2.26
Er2 0.8313 0.3313 0.6626  8 H 2.15-2.26
Sc1 0.5000 0.0000 0.0000  8 H 2.04-2.16
H1 0.6529 0.8984 0.3058  1 Sc 2.04, 3 Er 2.15-2.26, 3 H 2.18-2.20
H2 0.3471 0.5926 0.6942  1 Sc 2.04, 3 Er 2.15-2.26, 3 H 2.18-2.20
H3 0.1728 0.1727 0.3455  8 H 2.18-2.20
H4 0.0000 0.2503 0.0000  2 Sc 2.16, 2 Er 2.16, 6 H 2.20-2.40
H5 0.8272 0.8273 0.6545  8 H 2.18-2.20
H6 0.6529 0.4074 0.3058  1 Sc 2.04, 3 Er 2.15-2.26, 3 H 2.18-2.20
H7 0.3471 0.1016 0.6942  1 Sc 2.04, 3 Er 2.15-2.26, 3 H 2.18-2.20
H8 0.0000 0.7497 0.0000  2 Sc 2.16, 2 Er 2.16, 6 H 2.20-2.40

## Properties
- Uncorrected energy: -4.43 eV per atom
- Space group: Immm
- Density of states at the Fermi level: 0.156 states/eV per atom
- Total magnetization: 0.0 μB/f.u.


Density functional theory data (GGA-PBE) for a relaxed AcPr5YEr2 crystal.

a = 5.6042 Å, b = 12.5434 Å, c = 9.6173 Å
α = 90.00°, β = 90.00°, γ = 102.91°
With the nearest neighbours (Å) after each atom.
Positions (direct):
Ac1 0.6029 0.2058 0.9247  5 Pr 3.44-3.76
Ac2 0.3971 0.7942 0.4247  5 Pr 3.44-3.76
Pr1 0.3930 0.7861 0.0335  4 Pr 3.34-3.68, 4 Er 3.51-3.65
Pr2 0.7407 0.4815 0.8538  3 Y 3.18-3.28, 1 Ac 3.44, 2 Pr 3.53
Pr3 0.4752 0.9503 0.7557  3 Pr 3.34-3.58, 2 Ac 3.52-3.71, 2 Er 3.54
Pr4 0.3119 0.6237 0.7236  3 Er 3.39-3.43, 4 Pr 3.53-3.78, 3 Y 3.53, 1 Ac 3.55
Pr5 0.0092 0.0184 0.5408  2 Er 3.47-3.82, 4 Pr 3.58-3.68
Pr6 0.6070 0.2139 0.5335  4 Pr 3.34-3.68, 4 Er 3.51-3.65
Pr7 0.2593 0.5185 0.3538  3 Y 3.18-3.28, 1 Ac 3.44, 2 Pr 3.53
Pr8 0.5248 0.0497 0.2557  3 Pr 3.34-3.58, 2 Ac 3.52-3.71, 2 Er 3.54
Pr9 0.6881 0.3763 0.2236  3 Er 3.39-3.43, 4 Pr 3.53-3.78, 3 Y 3.53, 1 Ac 3.55
Pr10 0.9908 0.9816 0.0408  2 Er 3.47-3.82, 4 Pr 3.58-3.68
Y1 0.7677 0.5353 0.5304  6 Pr 3.18-3.53
Y2 0.2323 0.4647 0.0304  6 Pr 3.18-3.53
Er1 0.8880 0.7760 0.7913  9 Pr 3.43-3.82
Er2 0.1748 0.3497 0.6701  6 Pr 3.39-3.68, 1 Y 3.74
Er3 0.1120 0.2240 0.2913  9 Pr 3.43-3.82
Er4 0.8252 0.6503 0.1701  6 Pr 3.39-3.68, 1 Y 3.74

## Properties
- Uncorrected energy: -4.70 eV per atom
- Space group: Cmc2_1
- Density of states at the Fermi level: 1.307 states/eV per atom
- E_form: 0.144 eV per atom
- Total magnetization: 0.0 μB/f.u.